Entry 1:
# CuPbO2F

CuPbO2F after structural relaxation (GGA-PBEsol, the Alexandria database).

Lattice parameters (Å, degrees): 4.1603 4.1603 4.3106 90.00 90.00 90.00
Element x y z (fractional)
Cu: 0.0000 0.0000 0.0000
Pb: 0.5000 0.5000 0.5000
O: 0.0000 0.5000 0.5000
O: 0.5000 0.0000 0.5000
F: 0.5000 0.5000 0.0000

Calculated values
Total magnetization: 0.24 μB/f.u.
E_form (uncorrected): -0.36 eV/atom


Entry 2:
# CuPdO2F

CuPdO2F after structural relaxation (GGA-PBEsol, the Alexandria database).

Lattice parameters (Å, degrees): 3.7946 3.7946 3.6490 90.00 90.00 90.00
Element x y z (fractional)
Cu: 0.0000 0.0000 0.0000
Pd: 0.5000 0.5000 0.5000
O: 0.0000 0.5000 0.0000
O: 0.5000 0.0000 0.0000
F: 0.0000 0.0000 0.5000

Calculated values
Total magnetization: 0.00 μB/f.u.
E_form (uncorrected): -0.09 eV/atom


Entry 3:
# CuPtOF2

CuPtOF2 after structural relaxation (GGA-PBEsol, the Alexandria database).

Lattice parameters (Å, degrees): 3.6599 3.6599 4.2459 90.00 90.00 90.00
Element x y z (fractional)
Cu: 0.0000 0.0000 0.0000
Pt: 0.5000 0.5000 0.5000
O: 0.0000 0.0000 0.5000
F: 0.0000 0.5000 0.0000
F: 0.5000 0.0000 0.0000

Calculated values
Total magnetization: 0.70 μB/f.u.
E_form (uncorrected): -0.12 eV/atom


Entry 4:
# RbCuOF2

RbCuOF2 after structural relaxation (GGA-PBEsol, the Alexandria database).

Lattice parameters (Å, degrees): 4.7584 4.7584 4.3937 90.00 90.00 90.00
Element x y z (fractional)
Rb: 0.0000 0.0000 0.0000
Cu: 0.5000 0.5000 0.5000
O: 0.0000 0.0000 0.5000
F: 0.0000 0.5000 0.0000
F: 0.5000 0.0000 0.0000

Calculated values
Total magnetization: 1.17 μB/f.u.
E_form (uncorrected): 0.09 eV/atom